First-principles (PBE) data for an optimized crystal structure of HfGa4Ru5, as listed in Alexandria via LeMat-Bulk.

a = 3.107 Å, b = 3.107 Å, c = 15.116 Å
α = 90.00°, β = 90.00°, γ = 90.00°
Atoms (fractional coordinates):
Hf (0.000, 0.000, 0.000)
Ga (0.000, 0.000, 0.206)
Ga (0.000, 0.000, 0.401)
Ga (0.000, 0.000, 0.599)
Ga (0.000, 0.000, 0.794)
Ru (0.500, 0.500, 0.109)
Ru (0.500, 0.500, 0.303)
Ru (0.500, 0.500, 0.500)
Ru (0.500, 0.500, 0.697)
Ru (0.500, 0.500, 0.891)

Output
- total magnetization (μB/f.u.) = 0.002
- VASP energy (eV/atom) = -7.25